DFT (PBE-GGA) results for SrTaIr2 after structural relaxation.

The structure belongs to space group P4mm (No. 99); the cell edges are 2.917, 2.917 and 9.164 Å and the angles 90.00°, 90.00° and 90.00°. The asymmetric unit holds Sr at (0.000, 0.000, 0.000), Ta at (0.500, 0.500, 0.340), Ir at (0.000, 0.000, 0.541) and Ir at (0.500, 0.500, 0.744).

Its total moment is 0.00 μB per cell. The calculation puts the formation energy at 0.39 eV per atom. The calculation puts the density at 13.91 g/cm³. Its crystal system is tetragonal. The value obtained for the density of states at the Fermi level is 1.6357 states/eV/atom. The value obtained for the calculated total energy is -29.688 eV/cell.